## Hf7Ge2Bi2 (PBE-GGA)

Data for crystalline Hf7Ge2Bi2 at its relaxed geometry.

Energy of formation from the pure elements = 0.24 eV per formula unit

abc: 7.1354 10.3946 7.6162
angles: 90.00 105.99 90.00
Last column: nearest neighbours and their distance in Å.
Space group C2/m (No. 12)
Symmetry-distinct sites (fractional):
Hf 0.0000 0.0000 0.0000 x2  2 Ge 2.64, 2 Hf 2.87
Hf 0.0859 0.5000 0.8407 x4  1 Ge 2.77, 4 Hf 2.87-3.10, 2 Bi 3.08
Hf 0.1727 0.2592 0.1719 x8  1 Ge 2.72, 1 Bi 3.04
Ge 0.1828 0.0000 0.7422 x4  4 Hf 2.64-2.77
Bi 0.0000 0.3258 0.5000 x4  6 Hf 3.04-3.15